Entry 1:
PBE CsU2SbO8, optimized geometry; uncorrected formation energy = -2389 meV/atom
1.0
5.421 0.118 -0.039
0.176 5.406 -0.042
-0.040 -0.038 7.205
Cs U Sb O
1 2 1 8
Cartesian
-0.020 -0.019 3.602
2.799 2.764 5.407
2.758 2.723 1.716
0.000 0.000 0.000
1.424 4.157 1.434
3.762 3.728 7.039
4.196 1.392 1.437
4.133 1.329 5.689
1.795 1.758 0.085
1.361 4.095 5.687
3.612 3.588 3.353
1.945 1.899 3.770

***

Entry 2:
PBE Ce2SnAu6, optimized geometry; N(E_F) = 14.40 states/eV per cell; formation enthalpy at 0 K = -528 meV per atom
1.0
5.530 0.000 0.000
0.000 5.652 -3.263
0.000 0.000 6.526
Ce Sn Au
2 1 6
Cartesian
1.821 3.768 0.000
3.709 1.884 3.263
2.765 0.000 0.000
4.553 4.590 1.424
4.553 4.590 -1.424
0.977 3.528 3.263
4.553 2.124 0.000
0.977 1.062 4.687
0.977 1.062 1.839

***

Entry 3:
PBE CdPbI4, optimized geometry; N(E_F) = 0.00 states/eV per cell; uncorrected formation energy = -599 meV/atom
1.0
-4.323 -0.503 0.986
1.486 -5.682 -6.478
1.932 -2.284 7.302
Cd Pb I
1 1 4
Cartesian
0.000 0.000 0.000
-1.196 -1.393 4.144
-0.454 -4.624 -4.347
0.670 -2.435 1.695
-0.451 -3.845 6.157
-1.575 -6.034 0.115

***

Entry 4:
PBE HPd3Pt, optimized geometry; N(E_F) = 7.72 states/eV per cell; raw total energy = -4.589 eV/atom
1.0
-3.695 1.042 6.043
-1.654 -1.801 -6.729
0.530 -4.772 1.147
H Pd Pt
2 6 2
Cartesian
-2.359 -1.828 -1.202
-2.461 -3.703 1.664
-3.584 -2.232 -2.317
-0.835 -1.842 -1.965
-3.985 -3.689 2.426
-1.236 -3.299 2.779
0.000 0.000 0.000
0.265 -2.386 0.574
-1.871 -2.508 -4.256
-2.948 -3.023 4.718